{
  "formula": "TbHo6Ni3",
  "functional": "PBE-GGA",
  "state": "relaxed",
  "lattice": [[-4.761, 0.470, 5.138], [0.382, -8.378, 1.120], [6.055, 2.428, 5.389]],
  "species": ["Ho", "Ho", "Ho", "Ho", "Ho", "Ho", "Ho", "Ho", "Ho", "Ho", "Ho", "Ho", "Ni", "Ni", "Ni", "Ni", "Ni", "Ni", "Tb", "Tb"],
  "fractional_positions": [[0.670, 0.630, 0.705], [0.318, 0.582, 0.965], [0.818, 0.965, 0.582], [0.170, 0.705, 0.630], [0.010, 0.773, 0.227], [0.670, 0.295, 0.370], [0.510, 0.227, 0.773], [0.164, 0.032, 0.968], [0.664, 0.968, 0.032], [0.318, 0.035, 0.418], [0.818, 0.418, 0.035], [0.170, 0.370, 0.295], [0.954, 0.699, 0.912], [0.379, 0.418, 0.582], [0.454, 0.912, 0.699], [0.879, 0.582, 0.418], [0.454, 0.301, 0.088], [0.954, 0.088, 0.301], [0.548, 0.680, 0.320], [0.048, 0.320, 0.680]],
  "e_form_kj_per_mol_atoms": -23.2,
  "dft_energy_ev_per_atom": -5.18,
  "magnetic_moment_mub_per_atom": 0.00,
  "volume_a3_per_atom": 24.78
}


{
  "formula": "TbHo3Ni",
  "functional": "PBE-GGA",
  "state": "relaxed",
  "lattice": [[5.283, 0.000, 0.000], [0.000, 5.283, 0.000], [0.000, 0.000, 5.283]],
  "species": ["Ho", "Ho", "Ho", "Ni", "Tb"],
  "fractional_positions": [[0.500, 0.000, 0.000], [0.000, 0.500, 0.000], [0.000, 0.000, 0.500], [0.000, 0.000, 0.000], [0.500, 0.500, 0.500]],
  "e_form_kj_per_mol_atoms": -4.6,
  "dft_energy_ev_per_atom": -4.88,
  "magnetic_moment_mub_per_atom": 0.00,
  "volume_a3_per_atom": 29.48,
  "polymorph_energy_mev_per_atom": 126
}


{
  "formula": "Tb4HoNi4",
  "functional": "PBE-GGA",
  "state": "relaxed",
  "lattice": [[-3.422, -2.399, -3.831], [6.414, -4.862, -2.685], [-2.149, -5.955, 5.648]],
  "species": ["Tb", "Tb", "Tb", "Tb", "Tb", "Tb", "Tb", "Tb", "Ho", "Ho", "Ni", "Ni", "Ni", "Ni", "Ni", "Ni", "Ni", "Ni"],
  "fractional_positions": [[0.400, 0.312, 0.915], [0.600, 0.915, 0.688], [0.900, 0.585, 0.812], [0.100, 0.812, 0.415], [0.900, 0.415, 0.188], [0.600, 0.085, 0.312], [0.100, 0.188, 0.585], [0.400, 0.688, 0.085], [0.000, 0.000, 0.000], [0.500, 0.500, 0.500], [0.884, 0.273, 0.869], [0.384, 0.631, 0.773], [0.116, 0.869, 0.727], [0.384, 0.369, 0.227], [0.116, 0.131, 0.273], [0.616, 0.773, 0.369], [0.884, 0.727, 0.131], [0.616, 0.227, 0.631]],
  "e_form_kj_per_mol_atoms": -24.9,
  "dft_energy_ev_per_atom": -5.39,
  "magnetic_moment_mub_per_atom": 0.00,
  "volume_a3_per_atom": 22.67
}


{
  "formula": "TbHo3Ni",
  "functional": "PBE-GGA",
  "state": "relaxed",
  "lattice": [[-1.118, 1.316, 3.198], [4.012, -2.327, 4.426], [8.072, 9.301, 1.061]],
  "species": ["Ni", "Ni", "Ho", "Ho", "Ho", "Ho", "Ho", "Ho", "Tb", "Tb"],
  "fractional_positions": [[0.769, 0.296, 0.166], [0.444, 0.370, 0.742], [0.461, 0.945, 0.133], [0.751, 0.724, 0.774], [0.113, 0.172, 0.603], [0.408, 0.643, 0.541], [0.803, 0.024, 0.369], [0.984, 0.149, 0.884], [0.229, 0.519, 0.023], [0.099, 0.496, 0.307]],
  "e_form_kj_per_mol_atoms": -16.7,
  "dft_energy_ev_per_atom": -5.00,
  "magnetic_moment_mub_per_atom": 0.00,
  "volume_a3_per_atom": 26.96,
  "polymorph_energy_mev_per_atom": 0
}


{
  "formula": "Tb2HoNi",
  "functional": "PBE-GGA",
  "state": "relaxed",
  "lattice": [[3.654, 0.001, 0.000], [-1.826, 5.943, 0.000], [0.000, 0.000, 9.555]],
  "species": ["Ho", "Ho", "Ni", "Ni", "Tb", "Tb", "Tb", "Tb"],
  "fractional_positions": [[0.082, 0.164, 0.750], [0.918, 0.836, 0.250], [0.764, 0.528, 0.750], [0.236, 0.472, 0.250], [0.637, 0.273, 0.431], [0.363, 0.727, 0.569], [0.637, 0.273, 0.069], [0.363, 0.727, 0.931]],
  "e_form_kj_per_mol_atoms": -20.6,
  "dft_energy_ev_per_atom": -5.12,
  "magnetic_moment_mub_per_atom": 0.00,
  "volume_a3_per_atom": 25.94,
  "polymorph_energy_mev_per_atom": 31
}


{
  "formula": "Tb2HoNi",
  "functional": "PBE-GGA",
  "state": "relaxed",
  "lattice": [[-5.735, -2.533, 0.695], [0.088, -1.996, -6.547], [4.003, -8.350, 2.599]],
  "species": ["Ho", "Ho", "Ho", "Ho", "Tb", "Tb", "Tb", "Tb", "Tb", "Tb", "Tb", "Tb", "Ni", "Ni", "Ni", "Ni"],
  "fractional_positions": [[0.358, 0.466, 0.750], [0.858, 0.034, 0.250], [0.142, 0.966, 0.750], [0.642, 0.534, 0.250], [0.177, 0.679, 0.434], [0.177, 0.679, 0.066], [0.823, 0.321, 0.566], [0.323, 0.179, 0.066], [0.323, 0.179, 0.434], [0.677, 0.821, 0.934], [0.677, 0.821, 0.566], [0.823, 0.321, 0.934], [0.446, 0.890, 0.250], [0.946, 0.610, 0.750], [0.554, 0.110, 0.750], [0.054, 0.390, 0.250]],
  "e_form_kj_per_mol_atoms": -23.6,
  "dft_energy_ev_per_atom": -5.15,
  "magnetic_moment_mub_per_atom": 0.00,
  "volume_a3_per_atom": 25.96,
  "polymorph_energy_mev_per_atom": 0
}


{
  "formula": "TbHo3Ni",
  "functional": "PBE-GGA",
  "state": "relaxed",
  "lattice": [[-1.588, 4.690, 1.499], [-6.017, -1.873, -0.499], [0.726, -2.269, 7.868]],
  "species": ["Ni", "Ni", "Ho", "Ho", "Ho", "Ho", "Ho", "Ho", "Tb", "Tb"],
  "fractional_positions": [[0.377, 0.710, 0.668], [0.874, 0.643, 0.233], [0.376, 0.856, 0.972], [0.376, 0.879, 0.396], [0.876, 0.958, 0.696], [0.876, 0.497, 0.929], [0.875, 0.474, 0.505], [0.375, 0.395, 0.205], [0.876, 0.062, 0.180], [0.376, 0.290, 0.721]],
  "e_form_kj_per_mol_atoms": -10.8,
  "dft_energy_ev_per_atom": -4.94,
  "magnetic_moment_mub_per_atom": 0.00,
  "volume_a3_per_atom": 26.80,
  "polymorph_energy_mev_per_atom": 61
}


{
  "formula": "Tb2HoNi2",
  "functional": "PBE-GGA",
  "state": "relaxed",
  "lattice": [[-4.718, 2.430, 2.311], [4.148, -2.658, 4.014], [2.964, 6.445, -0.727]],
  "species": ["Tb", "Tb", "Tb", "Tb", "Ni", "Ni", "Ni", "Ni", "Ho", "Ho"],
  "fractional_positions": [[0.768, 0.318, 0.654], [0.550, 0.318, 0.154], [0.450, 0.682, 0.846], [0.232, 0.682, 0.346], [0.978, 0.678, 0.989], [0.022, 0.322, 0.011], [0.300, 0.322, 0.511], [0.700, 0.678, 0.489], [0.090, 0.000, 0.750], [0.910, 0.000, 0.250]],
  "e_form_kj_per_mol_atoms": -31.1,
  "dft_energy_ev_per_atom": -5.40,
  "magnetic_moment_mub_per_atom": 0.00,
  "volume_a3_per_atom": 22.92,
  "polymorph_energy_mev_per_atom": 0
}


{
  "formula": "TbHoNi2",
  "functional": "PBE-GGA",
  "state": "relaxed",
  "lattice": [[-2.673, -2.621, -0.007], [2.924, -2.983, 0.382], [1.007, 1.636, 5.064]],
  "species": ["Tb", "Ni", "Ni", "Ho"],
  "fractional_positions": [[0.443, 0.500, 0.425], [0.011, 0.000, 0.561], [0.155, 0.500, 0.850], [0.721, 0.000, 0.982]],
  "e_form_kj_per_mol_atoms": -44.1,
  "dft_energy_ev_per_atom": -5.65,
  "magnetic_moment_mub_per_atom": 0.00,
  "volume_a3_per_atom": 19.95
}


{
  "formula": "Tb2Ho3Ni4",
  "functional": "PBE-GGA",
  "state": "relaxed",
  "lattice": [[-6.532, 3.683, 0.987], [-1.673, -6.685, -2.421], [-0.317, -2.390, 6.820]],
  "species": ["Ho", "Ho", "Ho", "Ho", "Ho", "Ho", "Tb", "Tb", "Tb", "Tb", "Ni", "Ni", "Ni", "Ni", "Ni", "Ni", "Ni", "Ni"],
  "fractional_positions": [[0.000, 0.500, 0.500], [0.749, 0.763, 0.329], [0.249, 0.763, 0.171], [0.251, 0.237, 0.671], [0.751, 0.237, 0.829], [0.500, 0.500, 0.000], [0.597, 0.201, 0.321], [0.097, 0.201, 0.179], [0.903, 0.799, 0.821], [0.403, 0.799, 0.679], [0.117, 0.910, 0.471], [0.384, 0.500, 0.381], [0.616, 0.500, 0.619], [0.617, 0.910, 0.029], [0.116, 0.500, 0.881], [0.884, 0.500, 0.119], [0.883, 0.090, 0.529], [0.383, 0.090, 0.971]],
  "e_form_kj_per_mol_atoms": -37.3,
  "dft_energy_ev_per_atom": -5.51,
  "magnetic_moment_mub_per_atom": 0.00,
  "volume_a3_per_atom": 21.24
}


{
  "formula": "TbHo2Ni2",
  "functional": "PBE-GGA",
  "state": "relaxed",
  "lattice": [[3.760, 0.000, 0.000], [0.000, 5.495, 0.084], [-1.880, -1.493, 5.503]],
  "species": ["Tb", "Ho", "Ho", "Ni", "Ni"],
  "fractional_positions": [[0.000, 0.000, 0.000], [0.648, 0.590, 0.297], [0.352, 0.410, 0.703], [0.713, 0.114, 0.427], [0.287, 0.886, 0.573]],
  "e_form_kj_per_mol_atoms": -23.4,
  "dft_energy_ev_per_atom": -5.31,
  "magnetic_moment_mub_per_atom": 0.00,
  "volume_a3_per_atom": 22.83,
  "polymorph_energy_mev_per_atom": 47
}


{
  "formula": "TbHoNi2",
  "functional": "PBE-GGA",
  "state": "relaxed",
  "lattice": [[-2.092, -0.844, -2.439], [-1.727, -3.570, 2.716], [-3.311, 2.978, 1.810]],
  "species": ["Ho", "Ni", "Ni", "Tb"],
  "fractional_positions": [[0.500, 0.000, 0.000], [0.000, 0.000, 0.500], [0.000, 0.500, 0.000], [0.500, 0.500, 0.500]],
  "e_form_kj_per_mol_atoms": -37.7,
  "dft_energy_ev_per_atom": -5.58,
  "magnetic_moment_mub_per_atom": 0.00,
  "volume_a3_per_atom": 19.19
}


- What is the formula in the ninth record?
  TbHoNi2